<i>
AsI2Cl | PBE | optimized geometry

Cell lengths 5.2936, 5.2936, 5.2936 Å; angles 60.00, 60.00, 60.00 degrees
Closest atoms and distances in Å follow each position.
Fractional coordinates of all 4 atoms:
1 I 0.2500 0.2500 0.2500  4 As 3.24, 4 Cl 3.24
2 I 0.7500 0.7500 0.7500  4 As 3.24, 4 Cl 3.24
3 As 0.5000 0.5000 0.5000  8 I 3.24
4 Cl 0.0000 0.0000 0.0000  8 I 3.24

Calculated values
SG: No. 225
Magnetization: 0.00 Bohr magnetons per cell
Calculated volume: 105 Å³/cell

<ii>
AsI2Cl | PBE | optimized geometry

Cell lengths 8.1595, 8.1595, 7.1217 Å; angles 55.05, 55.05, 90.00 degrees
Closest atoms and distances in Å follow each position.
Fractional coordinates of all 8 atoms:
1 I 0.6740 0.1250 0.2500  2 As 2.82
2 I 0.0760 0.6250 0.2500  2 As 2.82
3 I 0.3750 0.3260 0.7500  2 As 2.82
4 I 0.8750 0.9240 0.7500  2 As 2.82
5 As 0.0000 0.0000 0.0000  4 I 2.82
6 As 0.7500 0.2500 0.5000  4 I 2.82
7 Cl 0.5000 0.5000 0.0000  4 I 3.35
8 Cl 0.2500 0.7500 0.5000  4 I 3.35

Calculated values
SG: No. 122
Magnetization: 0.00 Bohr magnetons per cell
Calculated volume: 278 Å³/cell

Most stable = <ii>

<i>
AsICl | PBE | optimized geometry

Cell lengths 5.8359, 7.7712, 8.9464 Å; angles 95.19, 129.19, 89.61 degrees
Closest atoms and distances in Å follow each position.
Fractional coordinates of all 6 atoms:
1 Cl 0.3242 0.0341 0.8664  1 As 2.21
2 Cl 0.5733 0.9788 0.3516  1 I 2.55, 1 As 2.75
3 As 0.7617 0.0855 0.1587  1 Cl 2.21, 1 As 2.32
4 As 0.6748 0.3708 0.2000  1 As 2.32
5 I 0.2008 0.4321 0.5366  1 As 2.61
6 I 0.4157 0.7239 0.4362  1 Cl 2.55

Calculated values
SG: No. 1
Magnetization: 0.00 Bohr magnetons per cell
Calculated volume: 312 Å³/cell

<ii>
AsICl | PBE | optimized geometry

Cell lengths 7.6263, 7.2473, 5.8625 Å; angles 78.18, 114.45, 83.21 degrees
Closest atoms and distances in Å follow each position.
Fractional coordinates of all 6 atoms:
1 As 0.7935 0.9200 0.5529  1 Cl 2.23
2 As 0.6522 0.2711 0.4874  1 Cl 2.23
3 I 0.9988 0.3484 0.6634  1 As 2.59
4 I 0.4466 0.8434 0.3771  1 As 2.59
5 Cl 0.5597 0.3511 0.0600  1 As 2.23
6 Cl 0.8857 0.8409 0.9804  1 As 2.23

Calculated values
SG: No. 2
Magnetization: 0.00 Bohr magnetons per cell
Calculated volume: 281 Å³/cell

Most stable = <ii>